[1]
VASP calculation (SCAN) on a PBEsol-optimized structure of HoBO3.

Results
Magnetization ... 0.00 μB/f.u.

Lattice parameters (Å, degrees): 6.047 6.308 6.313 91.97 108.19 108.89
Space group P-1 (No. 2)
One atom of each set of equivalent atoms:
1 Ho 0.058 0.349 0.273
2 Ho 0.439 0.220 0.821
3 B 0.024 0.788 0.237
4 B 0.489 0.269 0.281
5 O 0.030 0.019 0.772
6 O 0.092 0.370 0.645
7 O 0.153 0.717 0.121
8 O 0.368 0.384 0.126
9 O 0.380 0.840 0.797
10 O 0.456 0.267 0.484


[2]
VASP calculation (SCAN) on a PBEsol-optimized structure of ErTiSi.

Results
Magnetization ... 0.45 μB/f.u.

Lattice parameters (Å, degrees): 3.963 3.963 7.421 90.00 90.00 90.00
Space group P4/nmm (No. 129, origin choice 2)
One atom of each set of equivalent atoms:
1 Er 0.250 0.250 0.155
2 Ti 0.250 0.750 0.500
3 Si 0.250 0.250 0.742


| no. | E_form (uncorrected) (meV/atom) |
| --- | --- |
| 1 | -3404 |
| 2 | -706 |